Entry 1:
VASP calculation (PBE-GGA) on an optimized crystal structure of VGeW.

Space group ... P1, No. 1
D(E_F) ... 1.72 states/eV/f.u.
Energy of formation from the pure elements ... -7 meV per atom

Cell lengths 2.8243, 5.2434, 6.3954 Å; angles 77.01, 81.88, 82.28 degrees
Closest atoms and distances in Å follow each position.
Sites, in units of the cell vectors:
V 0.0000 0.0000 0.0000  3 V 2.56-2.82, 3 W 2.58-2.83, 3 Ge 2.66-2.67
V 0.1653 0.1631 0.3284  3 V 2.56-2.82, 3 W 2.57-2.83, 3 Ge 2.64-2.68
Ge 0.0306 0.7729 0.6658  2 V 2.64-2.66, 4 W 2.68-2.69, 4 Ge 2.70-2.91
Ge 0.5444 0.2541 0.6623  4 V 2.65-2.68, 2 W 2.68-2.69, 4 Ge 2.70-2.91
W 0.4921 0.4945 0.9961  3 V 2.57-2.83, 3 W 2.64-2.82, 3 Ge 2.68-2.69
W 0.6649 0.6673 0.3321  3 V 2.58-2.83, 3 W 2.64-2.82, 3 Ge 2.68-2.69


Entry 2:
VASP calculation (PBE-GGA) on an optimized crystal structure of V2Ge3W.

Space group ... Imma, No. 74
D(E_F) ... 4.74 states/eV/f.u.
Energy of formation from the pure elements ... 79 meV per atom

Cell lengths 6.7197, 6.7197, 6.7197 Å; angles 139.67, 108.18, 85.74 degrees
Closest atoms and distances in Å follow each position.
Sites, in units of the cell vectors:
V 0.0875 0.3375 0.7500  4 Ge 2.54
V 0.2573 0.0073 0.2500  4 Ge 2.53-2.58, 2 W 2.82
V 0.7427 0.9927 0.7500  4 Ge 2.53-2.58, 2 W 2.82
V 0.9125 0.6625 0.2500  4 Ge 2.54
Ge 0.0000 0.5000 0.5000  2 V 2.54, 2 W 2.59, 4 Ge 2.83
Ge 0.1530 0.1646 0.9884  3 V 2.53-2.58, 1 W 2.63, 2 Ge 2.83
Ge 0.3237 0.8354 0.4884  3 V 2.53-2.58, 1 W 2.63, 2 Ge 2.83
Ge 0.5000 0.5000 0.0000  2 V 2.54, 2 W 2.59, 4 Ge 2.83
Ge 0.6763 0.1646 0.5116  3 V 2.53-2.58, 1 W 2.63, 2 Ge 2.83
Ge 0.8470 0.8354 0.0116  3 V 2.53-2.58, 1 W 2.63, 2 Ge 2.83
W 0.4204 0.6704 0.7500  4 Ge 2.59-2.63, 2 W 2.80, 2 V 2.82
W 0.5796 0.3296 0.2500  4 Ge 2.59-2.63, 2 W 2.80, 2 V 2.82


Entry 3:
VASP calculation (PBE-GGA) on an optimized crystal structure of V5Ge2W.

Space group ... Immm, No. 71
D(E_F) ... 7.10 states/eV/f.u.
Energy of formation from the pure elements ... 21 meV per atom

Cell lengths 6.3127, 6.3127, 6.3127 Å; angles 151.30, 102.89, 84.24 degrees
Closest atoms and distances in Å follow each position.
Sites, in units of the cell vectors:
V 0.0000 0.0000 0.0000  8 V 2.57, 2 Ge 2.58
V 0.0539 0.3578 0.6961  3 Ge 2.51-2.53, 5 V 2.57-2.69
V 0.3382 0.6422 0.6961  3 Ge 2.51-2.53, 5 V 2.57-2.69
V 0.6618 0.3578 0.3039  3 Ge 2.51-2.53, 5 V 2.57-2.69
V 0.9461 0.6422 0.3039  3 Ge 2.51-2.53, 5 V 2.57-2.69
Ge 0.2754 0.2754 0.0000  7 V 2.51-2.58, 2 W 2.62
Ge 0.7246 0.7246 0.0000  7 V 2.51-2.58, 2 W 2.62
W 0.5000 0.0000 0.5000  4 Ge 2.62


Entry 4:
VASP calculation (PBE-GGA) on an optimized crystal structure of V4GeW.

Space group ... C2/m, No. 12
D(E_F) ... 8.72 states/eV/f.u.
Energy of formation from the pure elements ... 197 meV per atom

Cell lengths 4.5519, 4.5519, 8.7546 Å; angles 115.62, 115.62, 32.93 degrees
Closest atoms and distances in Å follow each position.
Sites, in units of the cell vectors:
V 0.1575 0.1575 0.3404  7 V 2.58-2.83, 1 W 2.66, 3 Ge 2.67-2.69
V 0.3354 0.3354 0.1669  5 V 2.58-2.83, 1 Ge 2.61, 3 W 2.62-2.79
V 0.6646 0.6646 0.8331  5 V 2.58-2.83, 1 Ge 2.61, 3 W 2.62-2.79
V 0.8425 0.8425 0.6596  7 V 2.58-2.83, 1 W 2.66, 3 Ge 2.67-2.69
Ge 0.5000 0.5000 0.5000  2 Ge 2.58, 8 V 2.61-2.69
W 0.0000 0.0000 0.0000  2 W 2.58, 8 V 2.62-2.79